# KSrTl4Pt2 | OQMD | GGA-PBE | relaxed
# Raw total energy in eV/atom: -3.358
# Total magnetization in μB per atom: 0.001
data_KSrTl4Pt2
_chemical_formula_sum 'K2 Sr2 Tl8 Pt4'
_space_group_name_H-M_alt 'A m m 2'
_space_group_IT_number 38
_space_group_name_Hall 'A 2 -2'
_cell_length_a 8.5186
_cell_length_b 4.4474
_cell_length_c 11.5001
_cell_angle_alpha 90.00
_cell_angle_beta 90.00
_cell_angle_gamma 90.00
loop_
_atom_site_label
_atom_site_fract_x
_atom_site_fract_y
_atom_site_fract_z
K1 0.0000 0.0000 0.0000
Sr1 0.5000 0.0000 0.1209
Tl1 0.1962 0.0000 0.7091
Tl2 0.2994 0.0000 0.4116
Pt1 0.0000 0.0000 0.2811
Pt2 0.5000 0.0000 0.8326